RbAc2Ho PBE relaxed; energy relative to the elements = 79 kJ/mol of formula units
1.0
1.954 1.128 14.051
-1.954 1.128 14.051
0.000 -2.257 14.051
Rb Ac Ho
1 2 1
direct
0.000 0.000 0.000
0.097 0.097 0.097
0.903 0.903 0.903
0.500 0.500 0.500